[1]
Compound: Nd2Au
Source: OQMD
Functional: GGA-PBE
Structure: relaxed

Cell and atoms, written as CIF:
```
data_Nd2Au
_symmetry_space_group_name_H-M 'P 1'
_symmetry_Int_Tables_number 1
_cell_length_a 9.134
_cell_length_b 9.134
_cell_length_c 9.134
_cell_angle_alpha 60.00
_cell_angle_beta 60.00
_cell_angle_gamma 60.00
loop_
_symmetry_equiv_pos_as_xyz
'x,y,z'
loop_
_atom_site_label
_atom_site_type_symbol
_atom_site_fract_x
_atom_site_fract_y
_atom_site_fract_z
Nd1 Nd 0.375 0.375 0.875
Nd2 Nd 0.375 0.875 0.375
Nd3 Nd 0.875 0.375 0.375
Nd4 Nd 0.375 0.375 0.375
Au1 Au 0.500 0.500 0.500
Au2 Au 0.250 0.250 0.250
```

Output
The space group is No. 227.

[2]
Compound: AuI2
Source: OQMD
Functional: GGA-PBE
Structure: relaxed

Cell and atoms, written as CIF:
```
data_AuI2
_symmetry_space_group_name_H-M 'P 1'
_symmetry_Int_Tables_number 1
_cell_length_a 19.158
_cell_length_b 9.032
_cell_length_c 4.560
_cell_angle_alpha 90.00
_cell_angle_beta 90.00
_cell_angle_gamma 90.00
loop_
_symmetry_equiv_pos_as_xyz
'x,y,z'
loop_
_atom_site_label
_atom_site_type_symbol
_atom_site_fract_x
_atom_site_fract_y
_atom_site_fract_z
I1 I 0.393 0.991 0.514
I2 I 0.010 0.694 0.014
I3 I 0.357 0.403 0.514
I4 I 0.750 0.910 0.014
I5 I 0.750 0.304 0.014
I6 I 0.490 0.694 0.014
I7 I 0.857 0.597 0.514
I8 I 0.990 0.306 0.014
I9 I 0.143 0.403 0.514
I10 I 0.250 0.696 0.014
I11 I 0.250 0.090 0.014
I12 I 0.607 0.009 0.514
I13 I 0.107 0.991 0.514
I14 I 0.893 0.009 0.514
I15 I 0.643 0.597 0.514
I16 I 0.510 0.306 0.014
Au1 Au 0.250 0.390 0.015
Au2 Au 0.121 0.695 0.514
Au3 Au 0.750 0.610 0.015
Au4 Au 0.879 0.305 0.514
Au5 Au 0.500 0.000 0.013
Au6 Au 0.379 0.695 0.514
Au7 Au 0.621 0.305 0.514
Au8 Au 0.000 0.000 0.013
```

Output
The space group is No. 28.

Number 1: VASP energy -3.30 eV per atom. Number 2: VASP energy -2.04 eV per atom.